No. 1
Computed, not measured: MgBi2O4 after structural relaxation at the GGA-PBE level of DFT.

Formation energy without anion corrections, eV per formula unit: -10.1
Space group: Pnma (62)
E above lowest polymorph, meV/atom: 161

a b c (Å): 3.350 10.948 11.536
angles (deg): 90.00 90.00 90.00
Sites, in units of the cell vectors:
Mg  0.250  0.707  0.361
Mg  0.750  0.293  0.639
Mg  0.250  0.207  0.139
Mg  0.750  0.793  0.861
Bi  0.750  0.905  0.126
Bi  0.250  0.595  0.626
Bi  0.750  0.405  0.374
Bi  0.250  0.095  0.874
Bi  0.250  0.094  0.392
Bi  0.750  0.906  0.608
Bi  0.250  0.594  0.108
Bi  0.750  0.406  0.892
O  0.750  0.463  0.092
O  0.250  0.537  0.908
O  0.750  0.963  0.408
O  0.250  0.037  0.592
O  0.750  0.472  0.700
O  0.250  0.528  0.300
O  0.750  0.972  0.800
O  0.250  0.028  0.200
O  0.750  0.188  0.016
O  0.250  0.812  0.984
O  0.750  0.688  0.484
O  0.250  0.312  0.516
O  0.250  0.250  0.757
O  0.750  0.750  0.243
O  0.750  0.250  0.257
O  0.250  0.750  0.743

No. 2
Computed, not measured: Te2MoP after structural relaxation at the GGA-PBE level of DFT.

Formation energy without anion corrections, eV per formula unit: 2.2
Space group: C2/m (12)

a b c (Å): 4.725 4.725 5.717
angles (deg): 81.75 81.75 43.54
Sites, in units of the cell vectors:
Te  0.222  0.222  0.776
Te  0.778  0.778  0.224
Mo  0.500  0.500  0.000
P  0.000  0.000  0.500

No. 3
Computed, not measured: Li4Re5 after structural relaxation at the GGA-PBE level of DFT.

Formation energy, eV/atom: 0.684
Space group: P6_3/mcm (193)
E above lowest polymorph, meV/atom: 415

a b c (Å): 7.243 7.243 5.063
angles (deg): 90.00 90.00 120.00
Sites, in units of the cell vectors:
Re  0.000  0.697  0.250
Re  0.303  0.303  0.250
Re  0.697  0.000  0.250
Re  0.000  0.303  0.750
Re  0.697  0.697  0.750
Re  0.303  0.000  0.750
Re  0.667  0.333  0.000
Re  0.333  0.667  0.500
Re  0.333  0.667  0.000
Re  0.667  0.333  0.500
Li  0.000  0.000  0.000
Li  0.000  0.000  0.500
Li  0.000  0.365  0.250
Li  0.635  0.635  0.250
Li  0.365  0.000  0.250
Li  0.000  0.635  0.750
Li  0.365  0.365  0.750
Li  0.635  0.000  0.750

No. 4
Computed, not measured: MnNiHgPd after structural relaxation at the GGA-PBE level of DFT.

Formation energy, eV/atom: 0.022
Space group: F-43m (216)

a b c (Å): 4.446 4.446 4.446
angles (deg): 60.00 60.00 60.00
Site moments in Bohr magnetons follow the coordinates.
Sites, in units of the cell vectors:
Ni  0.500  0.500  0.500  0.48
Mn  0.250  0.250  0.250  3.88
Hg  0.750  0.750  0.750  -0.02
Pd  0.000  0.000  0.000  0.18

No. 5
Computed, not measured: TbCd11Pt after structural relaxation at the GGA-PBE level of DFT.

Formation energy, eV/atom: -0.145
Space group: C2/m (12)

a b c (Å): 5.760 7.585 7.644
angles (deg): 81.69 67.87 67.43
Sites, in units of the cell vectors:
Tb  0.000  0.000  0.000
Cd  0.297  0.213  0.207
Cd  0.703  0.787  0.793
Cd  0.495  0.787  0.207
Cd  0.505  0.213  0.793
Cd  0.361  0.645  0.659
Cd  0.639  0.355  0.341
Cd  0.980  0.355  0.659
Cd  0.020  0.645  0.341
Cd  0.000  0.500  0.000
Cd  0.500  0.000  0.500
Cd  0.000  0.000  0.500
Pt  0.500  0.500  0.000

No. 6
Computed, not measured: ReBAs2F after structural relaxation at the GGA-PBE level of DFT.

Formation energy without anion corrections, eV per formula unit: 1.1
Space group: P4/mmm (123)

a b c (Å): 4.730 4.184 4.730
angles (deg): 90.00 90.00 90.00
Sites, in units of the cell vectors:
Re  0.000  0.000  0.000
As  0.000  0.000  0.500
As  0.500  0.000  0.000
B  0.000  0.500  0.000
F  0.500  0.500  0.500

No. 7
Computed, not measured: ThSb2As2Pd7 after structural relaxation at the GGA-PBE level of DFT.

Formation energy without anion corrections, eV per formula unit: -5.7
Space group: C2/m (12)

a b c (Å): 4.083 4.083 14.885
angles (deg): 85.36 85.36 89.79
Sites, in units of the cell vectors:
Th  0.000  0.000  0.000
Sb  0.862  0.862  0.416
Sb  0.138  0.138  0.584
As  0.572  0.572  0.752
As  0.428  0.428  0.248
Pd  0.500  0.500  0.000
Pd  0.360  0.360  0.414
Pd  0.640  0.640  0.586
Pd  0.958  0.457  0.148
Pd  0.457  0.958  0.148
Pd  0.543  0.042  0.852
Pd  0.042  0.543  0.852

No. 8
Computed, not measured: V2SiTeW after structural relaxation at the GGA-PBE level of DFT.

Formation energy without anion corrections, eV per formula unit: 4.6
Space group: P4/mmm (123)

a b c (Å): 4.448 4.599 4.448
angles (deg): 90.00 90.00 90.00
Sites, in units of the cell vectors:
Si  0.000  0.000  0.000
Te  0.500  0.500  0.500
W  0.000  0.500  0.000
V  0.000  0.000  0.500
V  0.500  0.000  0.000

No. 9
Computed, not measured: Zr2PbAuS after structural relaxation at the GGA-PBE level of DFT.

Formation energy without anion corrections, eV per formula unit: 3.7
Space group: P4/mmm (123)

a b c (Å): 5.226 5.480 5.226
angles (deg): 90.00 90.00 90.00
Sites, in units of the cell vectors:
Pb  0.000  0.500  0.000
S  0.500  0.500  0.500
Au  0.000  0.000  0.000
Zr  0.000  0.000  0.500
Zr  0.500  0.000  0.000

No. 10
Computed, not measured: GdLuTlPt after structural relaxation at the GGA-PBE level of DFT.

Formation energy, eV/atom: -0.690
Space group: F-43m (216)

a b c (Å): 5.129 5.129 5.129
angles (deg): 60.00 60.00 60.00
Site moments in Bohr magnetons follow the coordinates.
Sites, in units of the cell vectors:
Gd  0.500  0.500  0.500  6.99
Tl  0.250  0.250  0.250  0.00
Lu  0.000  0.000  0.000  0.02
Pt  0.750  0.750  0.750  0.01

No. 11
Computed, not measured: HfTlP2S8 after structural relaxation at the GGA-PBE level of DFT.

Formation energy without anion corrections, eV per formula unit: -5.1
Space group: R-3 (148)

a b c (Å): 6.072 6.072 9.738
angles (deg): 71.83 71.83 60.00
Site moments in Bohr magnetons follow the coordinates.
Sites, in units of the cell vectors:
Hf  0.000  0.000  0.000  0.00
Tl  0.500  0.500  0.500  0.01
P  0.258  0.258  0.227  -0.01
P  0.742  0.742  0.773  -0.01
S  0.184  0.184  0.448  0.19
S  0.602  0.290  0.161  0.04
S  0.816  0.816  0.552  0.19
S  0.947  0.602  0.161  0.04
S  0.053  0.398  0.839  0.04
S  0.290  0.947  0.161  0.04
S  0.710  0.053  0.839  0.04
S  0.398  0.710  0.839  0.04

No. 12
Computed, not measured: LiAc3Hg2Pd6 after structural relaxation at the GGA-PBE level of DFT.

Formation energy, eV/atom: -0.647
Space group: P-3m1 (164)

a b c (Å): 5.899 5.899 9.050
angles (deg): 90.00 90.00 120.00
Sites, in units of the cell vectors:
Li  0.000  0.000  0.500
Ac  0.333  0.667  0.625
Ac  0.667  0.333  0.375
Ac  0.000  0.000  0.000
Hg  0.667  0.333  0.975
Hg  0.333  0.667  0.025
Pd  0.659  0.830  0.292
Pd  0.170  0.341  0.292
Pd  0.170  0.830  0.292
Pd  0.830  0.659  0.708
Pd  0.341  0.170  0.708
Pd  0.830  0.170  0.708

No. 13
Computed, not measured: BaHg9Pb2 after structural relaxation at the GGA-PBE level of DFT.

Formation energy, eV/atom: -0.131
Space group: P-1 (2)
E above lowest polymorph, meV/atom: 0

a b c (Å): 8.533 8.896 19.406
angles (deg): 34.44 26.22 36.07
Sites, in units of the cell vectors:
Ba  0.000  0.000  0.000
Hg  0.312  0.259  0.934
Hg  0.688  0.741  0.066
Hg  0.500  0.500  0.500
Hg  0.665  0.560  0.796
Hg  0.832  0.311  0.589
Hg  0.957  0.692  0.788
Hg  0.335  0.440  0.204
Hg  0.043  0.308  0.212
Hg  0.168  0.689  0.411
Pb  0.299  0.039  0.652
Pb  0.701  0.961  0.348

No. 14
Computed, not measured: RbLiB2H8 after structural relaxation at the GGA-PBE level of DFT.

Electronic total energy, eV/f.u.: -47.22
Space group: P-3 (147)

a b c (Å): 4.412 4.412 7.627
angles (deg): 90.00 90.00 120.00
Sites, in units of the cell vectors:
Rb  0.000  0.000  0.000
Li  0.000  0.000  0.500
B  0.667  0.333  0.289
B  0.333  0.667  0.711
H  0.333  0.667  0.872
H  0.400  0.328  0.340
H  0.672  0.072  0.340
H  0.667  0.333  0.128
H  0.328  0.928  0.660
H  0.600  0.672  0.660
H  0.072  0.400  0.660
H  0.928  0.600  0.340

No. 15
Computed, not measured: Mg2In after structural relaxation at the GGA-PBE level of DFT.

Formation energy, eV/atom: 0.007
Space group: I4_1/amd (141)

a b c (Å): 14.253 14.253 14.253
angles (deg): 167.03 167.03 18.39
Sites, in units of the cell vectors:
Mg  0.172  0.672  0.500
Mg  0.328  0.828  0.500
Mg  0.422  0.422  0.000
Mg  0.578  0.578  0.000
In  0.000  0.000  0.000
In  0.750  0.250  0.500

No. 16
Computed, not measured: AlPbC after structural relaxation at the GGA-PBE level of DFT.

Formation energy, eV/atom: 0.379
Space group: P-6m2 (187)
E above lowest polymorph, meV/atom: 32

a b c (Å): 3.435 3.435 5.456
angles (deg): 90.00 90.00 120.00
Sites, in units of the cell vectors:
Pb  0.000  0.000  0.500
C  0.000  0.000  0.000
Al  0.667  0.333  0.000

No. 17
Computed, not measured: MgRh3Br after structural relaxation at the GGA-PBE level of DFT.

Formation energy without anion corrections, eV per formula unit: 6.2
Space group: Pm-3m (221)
E above lowest polymorph, meV/atom: 605

a b c (Å): 4.671 4.671 4.671
angles (deg): 90.00 90.00 90.00
Site moments in Bohr magnetons follow the coordinates.
Sites, in units of the cell vectors:
Mg  0.000  0.000  0.000  -0.02
Rh  0.000  0.500  0.000  1.24
Rh  0.000  0.000  0.500  1.04
Rh  0.500  0.000  0.000  0.91
Br  0.500  0.500  0.500  0.19

No. 18
Computed, not measured: AlRe2Tc after structural relaxation at the GGA-PBE level of DFT.

Formation energy, eV/atom: -0.100
Space group: F-43m (216)

a b c (Å): 4.354 4.354 4.354
angles (deg): 60.00 60.00 60.00
Sites, in units of the cell vectors:
Re  0.000  0.000  0.000
Re  0.250  0.250  0.250
Tc  0.750  0.750  0.750
Al  0.500  0.500  0.500

No. 19
Computed, not measured: Ce2ErTe2Se2 after structural relaxation at the GGA-PBE level of DFT.

Formation energy without anion corrections, eV per formula unit: -9.6
Space group: I4/mmm (139)

a b c (Å): 5.282 5.282 8.870
angles (deg): 107.32 107.32 90.00
Site moments in Bohr magnetons follow the coordinates.
Sites, in units of the cell vectors:
Ce  0.381  0.381  0.762  1.23
Ce  0.619  0.619  0.238  1.23
Er  0.000  0.000  0.000  0.04
Te  0.185  0.185  0.371  -0.02
Te  0.815  0.815  0.629  -0.02
Se  0.000  0.500  0.000  -0.01
Se  0.500  0.000  0.000  -0.01

No. 20
Computed, not measured: Ca2Be after structural relaxation at the GGA-PBE level of DFT.

Formation energy, eV/atom: 0.264
Space group: I4/mmm (139)
E above lowest polymorph, meV/atom: 38

a b c (Å): 7.019 7.019 7.019
angles (deg): 150.36 150.36 42.42
Sites, in units of the cell vectors:
Be  0.500  0.500  0.000
Ca  0.130  0.130  0.000
Ca  0.870  0.870  0.000